Record 1
# UBeHg

A geometry-optimized UBeHg structure (PBE, the Open Quantum Materials Database).

abc: 4.678 4.678 4.678
angles: 60.00 60.00 60.00
Site moments in Bohr magnetons follow the coordinates.
Sites, in units of the cell vectors:
Be 0.000 0.000 0.000  -0.04
Hg 0.750 0.750 0.750  -0.04
U 0.500 0.500 0.500  2.07

Summary:
Its total energy is -4.19 eV per atom. The space-group type is F-43m. For the volume, the calculation gives 24.1 Å³ per atom.

***

Record 2
# UBeHg

A geometry-optimized UBeHg structure (PBE, the Open Quantum Materials Database).

abc: 4.498 4.498 4.498
angles: 60.00 60.00 60.00
Site moments in Bohr magnetons follow the coordinates.
Sites, in units of the cell vectors:
Be 0.000 0.000 0.000  -0.05
Hg 0.250 0.250 0.250  -0.03
U 0.750 0.750 0.750  2.00

Summary:
Its total energy is -4.47 eV per atom. The space-group type is F-43m. For the volume, the calculation gives 21.4 Å³ per atom.

***

Record 3
# BeHg2W

A geometry-optimized BeHg2W structure (PBE, the Open Quantum Materials Database).

abc: 4.628 4.628 4.628
angles: 60.00 60.00 60.00
Site moments in Bohr magnetons follow the coordinates.
Sites, in units of the cell vectors:
Be 0.500 0.500 0.500  -0.01
Hg 0.000 0.000 0.000  0.02
Hg 0.750 0.750 0.750  -0.01
W 0.250 0.250 0.250  1.48

Summary:
Its total energy is -3.20 eV per atom. The space-group type is F-43m. For the volume, the calculation gives 17.5 Å³ per atom.